# 1
DFT (PBE-GGA) results for a relaxed CuBr crystal.

```
CuBr
1.0
-4.4436 9.7902 -0.1720
-8.9332 -3.9760 4.4735
1.4277 0.7092 3.4813
Br Cu
8 8
Direct
0.9372 0.7399 0.0000
0.7399 0.0628 0.0000
0.2399 0.5628 0.5000
0.7601 0.4372 0.5000
0.5628 0.7601 0.5000
0.0628 0.2601 0.0000
0.4372 0.2399 0.5000
0.2601 0.9372 0.0000
0.0795 0.4052 0.5000
0.5948 0.0795 0.5000
0.4052 0.9205 0.5000
0.4205 0.0948 0.0000
0.0948 0.5795 0.0000
0.5795 0.9052 0.0000
0.9205 0.5948 0.5000
0.9052 0.4205 0.0000
```

Output
- Total DFT energy (no corrections): -50.9 eV per cell

=====

# 2
DFT (PBE-GGA) results for a relaxed LaZrCd2P crystal.

```
LaZrCd2P
1.0
5.4860 0.0000 0.0000
0.0000 5.5023 0.0000
0.0000 0.0000 5.4860
P Cd La Zr
1 2 1 1
Direct
0.5000 0.5000 0.5000
0.5000 0.0000 0.0000
0.0000 0.0000 0.5000
0.0000 0.5000 0.0000
0.0000 0.0000 0.0000
```

Output
- ΔH_f (0 K): 0.9326 eV per atom

=====

# 3
DFT (PBE-GGA) results for a relaxed LiCa3 crystal.

```
LiCa3
1.0
5.2284 0.0000 0.0000
0.0000 5.2284 0.0000
-2.6142 -2.6142 5.4965
Li Ca
1 3
Direct
0.0000 0.0000 0.0000
0.5000 0.5000 0.0000
0.2500 0.7500 0.5000
0.7500 0.2500 0.5000
```

Output
- Distance to the lowest polymorph of the same formula: 41 meV per atom
- ΔH_f (0 K): 0.0731 eV per atom

=====

# 4
DFT (PBE-GGA) results for a relaxed Nd2HoH crystal.

```
Nd2HoH
1.0
3.4413 0.0000 0.0000
0.0000 3.4413 0.0000
0.0000 0.0000 8.6083
H Nd Ho
1 2 1
Direct
0.5000 0.5000 0.0000
0.0000 0.0000 0.1915
0.0000 0.0000 0.8085
0.5000 0.5000 0.5000
```

Output
- Distance to the lowest polymorph of the same formula: 234 meV per atom

=====

# 5
DFT (PBE-GGA) results for a relaxed LaTiRu2 crystal.

```
LaTiRu2
1.0
-1.1356 -0.2737 -4.7538
-3.4662 -3.3033 1.0182
-7.5951 4.0529 -0.9395
La Ru Ti
2 4 2
Direct
0.0000 0.0000 0.0000
0.7500 0.2500 0.5000
0.4620 0.1250 0.2500
0.8750 0.7120 0.7500
0.3750 0.5380 0.7500
0.2880 0.6250 0.2500
0.2500 0.7500 0.5000
0.5000 0.5000 0.0000
```

Output
- ΔH_f (0 K): 0.3079 eV per atom

=====

# 6
DFT (PBE-GGA) results for a relaxed PrZn11Cu crystal.

```
PrZn11Cu
1.0
4.8023 0.0083 2.0007
2.3597 6.3342 0.9831
-0.0302 0.0042 6.8364
Zn Pr Cu
11 1 1
Direct
0.3666 0.6416 0.6476
0.4982 0.7746 0.2205
0.0142 0.6416 0.3524
0.9858 0.3584 0.6476
0.7187 0.7746 0.7795
0.0000 0.5000 0.0000
0.2813 0.2254 0.2205
0.5018 0.2254 0.7795
0.5000 0.0000 0.5000
0.6334 0.3584 0.3524
0.0000 0.0000 0.5000
0.0000 0.0000 0.0000
0.5000 0.5000 0.0000
```

Output
- ΔH_f (0 K): -0.1945 eV per atom

=====

Number 1: magnetic moment 0.000 μB per atom. Number 2: magnetic moment 0.127 μB per atom. Number 3: magnetic moment 0.000 μB per atom. Number 4: magnetic moment 0.000 μB per atom. Number 5: magnetic moment 0.000 μB per atom. Number 6: magnetic moment 0.000 μB per atom.